BiMo2O6: optimized geometry, PBE+U.

The structure belongs to space group P-3m1 (No. 164); the cell edges are 9.5053, 9.5053 and 4.9477 Å and the angles 90.00°, 90.00° and 120.00°. Symmetry generates all atoms from Bi at (0.0000, 0.0000, 0.0000), Bi at (0.3333, 0.6667, 0.4870), Mo at (0.0000, 0.3415, 0.0000), O at (0.0831, 0.5416, 0.7622), O at (0.1239, 0.2478, 0.7951) and O at (0.2159, 0.4319, 0.2129).

The density comes out at 6.4 Mg/m³. As for the total energy: -6.755 eV/atom. The total magnetic moment comes out at 3.0 μB/f.u.